11
Lattice="-0.095 2.030 4.134 -4.860 -8.061 3.846 8.716 -3.845 2.087" Properties=species:S:1:pos:R:3 comment="Rb5I4N2, relaxed, DFT PBE" space_group="P2/m (10)" vol_a3_per_atom=41.5 formation_energy_uncorrected_ev_per_atom=-1.076 pbc="T T T"
Rb 1.873 -4.085 2.048
Rb -2.616 -8.099 3.916
Rb -2.430 -4.031 1.923
Rb 6.472 -3.808 2.017
Rb 1.982 -7.821 3.885
I 4.183 -4.773 5.005
I 3.826 -8.865 7.006
I -0.422 -5.104 5.062
I -0.065 -1.012 3.062
N -0.081 -9.608 4.715
N 3.937 -2.298 1.218

=====

6
Lattice="-1.627 1.340 4.043 -0.804 -5.290 1.429 4.451 -0.814 -0.510" Properties=species:S:1:pos:R:3 comment="HfPtRh, relaxed, DFT PBE" space_group="Cmcm (63)" vol_a3_per_atom=16.6 delta_e_f_ev_per_atom=-0.9653 polymorph_energy_mev_per_atom=0 pbc="T T T"
Hf 2.017 -3.753 3.341
Hf 0.002 -1.012 1.622
Pt 1.823 -3.052 0.460
Pt 2.225 -0.407 -0.255
Rh -0.408 -3.656 2.332
Rh 2.428 -1.108 2.630

=====

44
Lattice="-2.685 0.452 3.974 -5.146 -7.791 -2.591 8.392 -7.722 6.549" Properties=species:S:1:pos:R:3 comment="Li2SbSO4F3, relaxed, DFT PBE" space_group="P2_12_12_1 (19)" vol_a3_per_atom=14.0 formation_energy_uncorrected_ev_per_atom=-2.059 pbc="T T T"
Li 1.346 -9.038 6.723
Li 1.856 -5.103 2.310
Li 2.655 -12.583 5.670
Li -2.574 -5.386 2.848
Li 1.415 -2.064 3.057
Li 2.183 -6.214 5.578
Li -5.573 -6.221 2.306
Li 0.935 -13.633 3.237
Sb -0.915 -11.533 1.402
Sb -0.981 -0.258 1.578
Sb -0.407 -7.539 4.211
Sb 3.423 -10.791 8.673
S -1.741 -2.388 4.011
S -0.316 -11.273 4.913
S 4.382 -8.694 5.946
S -1.204 -7.766 0.994
O -2.869 -1.386 4.008
O -2.231 -8.801 1.159
O -1.298 -6.761 2.133
O 1.268 -3.279 1.410
O 0.826 -12.182 4.683
O 4.370 -9.601 4.724
O 5.453 -7.699 5.816
O -0.860 -10.737 3.611
O 4.707 -9.561 7.138
O 0.030 -10.123 5.757
O -1.432 -12.074 5.567
O 3.043 -8.084 6.076
O -4.015 -6.575 3.694
O -0.518 -1.685 3.440
O -2.131 -3.498 3.133
O 0.143 -8.437 1.107
F 3.946 -5.382 5.105
F 4.642 -12.586 5.309
F 2.173 -3.708 3.903
F 2.563 -14.185 4.254
F 1.260 -6.379 3.756
F -4.139 -7.975 -0.796
F -1.149 -5.726 4.621
F -5.993 -6.481 0.349
F 0.453 -7.371 6.077
F -4.068 -4.856 1.631
F 1.212 -4.674 6.450
F 2.463 -11.037 6.934

=====

| no. | magnetization (μB per formula unit) |
| --- | --- |
| 1 | 1.00 |
| 2 | 0.00 |
| 3 | 0.00 |